[1]
Computed, not measured: ThU2Te6 after structural relaxation at the PBE level of DFT.

Geometry as POSCAR:
```
ThU2Te6
1.0
-0.4238 5.1749 -2.5394
-5.5861 0.2596 1.4614
5.7115 2.1564 10.0193
Th U Te
1 2 6
Direct
0.5000 0.5000 0.0000 Th
0.1927 0.1927 0.3854 U
0.8073 0.8073 0.6146 U
0.8594 0.3220 0.1814 Te
0.6780 0.6780 0.8186 Te
0.3220 0.8594 0.1814 Te
0.1406 0.1406 0.8186 Te
0.7500 0.2500 0.5000 Te
0.2500 0.7500 0.5000 Te
```

Calculated values
uncorrected formation energy = -0.431 eV per atom
space-group type = I-42m
DOS at the Fermi energy = 13.3 states/eV per cell
total magnetization = 4.0 μB/cell

---

[2]
Computed, not measured: ThUTe4 after structural relaxation at the PBE level of DFT.

Geometry as POSCAR:
```
ThUTe4
1.0
-4.8082 -1.6470 4.7919
4.2358 -4.9319 2.5550
3.0874 5.1786 4.8777
Th U Te
2 2 8
Direct
0.0000 0.0000 0.5000 Th
0.5000 0.5000 0.5000 Th
0.5000 0.5000 0.0000 U
0.0000 0.0000 0.0000 U
0.3226 0.8226 0.7563 Te
0.8226 0.6774 0.7563 Te
0.6774 0.1774 0.7563 Te
0.8226 0.6774 0.2437 Te
0.1774 0.3226 0.7563 Te
0.3226 0.8226 0.2437 Te
0.1774 0.3226 0.2437 Te
0.6774 0.1774 0.2437 Te
```

Calculated values
uncorrected formation energy = -0.696 eV per atom
space-group type = P4/mbm
DOS at the Fermi energy = 19.5 states/eV per cell
total magnetization = 4.5 μB/cell

---

[3]
Computed, not measured: ThVTe2 after structural relaxation at the PBE level of DFT.

Geometry as POSCAR:
```
ThVTe2
1.0
3.5101 0.0000 0.0000
1.7551 3.0398 0.0000
1.7551 1.0133 10.0204
Te Th V
2 1 1
Direct
0.1079 0.1079 0.6764 Te
0.8921 0.8921 0.3236 Te
0.0000 0.0000 0.0000 Th
0.5000 0.5000 0.5000 V
```

Calculated values
uncorrected formation energy = -0.162 eV per atom
space-group type = R-3m
DOS at the Fermi energy = 5.9 states/eV per cell
total magnetization = 0.1 μB/cell

---

[4]
Computed, not measured: Th2VTe after structural relaxation at the PBE level of DFT.

Geometry as POSCAR:
```
Th2VTe
1.0
4.1186 0.0000 0.0000
2.0593 3.5668 0.0000
2.0593 1.1889 8.0868
Te Th V
1 2 1
Direct
0.5000 0.5000 0.5000 Te
0.2594 0.2594 0.2219 Th
0.7406 0.7406 0.7781 Th
0.0000 0.0000 0.0000 V
```

Calculated values
uncorrected formation energy = -0.093 eV per atom
space-group type = R-3m
DOS at the Fermi energy = 3.5 states/eV per cell
total magnetization = 3.4 μB/cell